[1]
{
  "formula": "Si8Ni3Pt2",
  "functional": "GGA-PBE",
  "state": "relaxed",
  "cell": [[3.8536, -6.2917, 0.0000], [3.8536, 6.2917, 0.0000], [0.0000, 0.0000, 3.8207]],
  "species": ["Si", "Si", "Si", "Si", "Si", "Si", "Si", "Si", "Ni", "Ni", "Ni", "Pt", "Pt"],
  "fractional_positions": [[0.1044, 0.8956, 0.0000], [0.1371, 0.3804, 0.5000], [0.3692, 0.6308, 0.0000], [0.3804, 0.1371, 0.5000], [0.6196, 0.8629, 0.5000], [0.6308, 0.3692, 0.0000], [0.8629, 0.6196, 0.5000], [0.8956, 0.1044, 0.0000], [0.2595, 0.2595, 0.0000], [0.5000, 0.5000, 0.5000], [0.7405, 0.7405, 0.0000], [0.2354, 0.7646, 0.5000], [0.7646, 0.2354, 0.5000]],
  "formation_energy_uncorrected_ev_per_fu": -3.737,
  "total_energy_ev_per_atom": -5.888
}

***

[2]
{
  "formula": "Si2NiPt",
  "functional": "GGA-PBE",
  "state": "relaxed",
  "cell": [[0.0000, 2.9786, 2.9786], [2.9786, 0.0000, 2.9786], [2.9786, 2.9786, 0.0000]],
  "species": ["Si", "Si", "Ni", "Pt"],
  "fractional_positions": [[0.2500, 0.2500, 0.2500], [0.7500, 0.7500, 0.7500], [0.0000, 0.0000, 0.0000], [0.5000, 0.5000, 0.5000]],
  "formation_energy_uncorrected_ev_per_fu": -0.950,
  "total_energy_ev_per_atom": -5.905
}

***

[3]
{
  "formula": "Si2NiPt",
  "functional": "GGA-PBE",
  "state": "relaxed",
  "cell": [[-1.8404, 1.8404, 3.8747], [1.8404, -1.8404, 3.8747], [1.8404, 1.8404, -3.8747]],
  "species": ["Si", "Si", "Ni", "Pt"],
  "fractional_positions": [[0.0000, 0.0000, 0.0000], [0.7500, 0.2500, 0.5000], [0.2500, 0.7500, 0.5000], [0.5000, 0.5000, 0.0000]],
  "formation_energy_uncorrected_ev_per_fu": -0.947,
  "total_energy_ev_per_atom": -5.904
}

***

[4]
{
  "formula": "Si2Ni2Pt",
  "functional": "GGA-PBE",
  "state": "relaxed",
  "cell": [[6.5313, 0.0000, 0.0000], [0.0000, 6.5313, 0.0000], [0.0000, 0.0000, 2.9151]],
  "species": ["Si", "Si", "Si", "Si", "Ni", "Ni", "Ni", "Ni", "Pt", "Pt"],
  "fractional_positions": [[0.1477, 0.3523, 0.0000], [0.3523, 0.8523, 0.0000], [0.6477, 0.1477, 0.0000], [0.8523, 0.6477, 0.0000], [0.1393, 0.6393, 0.5000], [0.3607, 0.1393, 0.5000], [0.6393, 0.8607, 0.5000], [0.8607, 0.3607, 0.5000], [0.0000, 0.0000, 0.0000], [0.5000, 0.5000, 0.0000]],
  "formation_energy_uncorrected_ev_per_fu": -2.569,
  "total_energy_ev_per_atom": -6.204
}

***

[5]
{
  "formula": "Si2Ni3Pt2",
  "functional": "GGA-PBE",
  "state": "relaxed",
  "cell": [[4.1175, -1.8365, 0.0000], [4.1175, 1.8365, 0.0000], [-2.0469, 0.0000, 5.8758]],
  "species": ["Si", "Si", "Ni", "Ni", "Ni", "Pt", "Pt"],
  "fractional_positions": [[0.1642, 0.1642, 0.2139], [0.8358, 0.8358, 0.7861], [0.3744, 0.3744, 0.5663], [0.5000, 0.5000, 0.0000], [0.6256, 0.6256, 0.4337], [0.1352, 0.1352, 0.7856], [0.8648, 0.8648, 0.2144]],
  "formation_energy_uncorrected_ev_per_fu": -3.745,
  "total_energy_ev_per_atom": -6.288
}

***

[6]
{
  "formula": "SiNi3Pt",
  "functional": "GGA-PBE",
  "state": "relaxed",
  "cell": [[4.5732, 0.0000, 0.0000], [0.0000, 4.5732, 0.0000], [0.0000, 0.0000, 4.5732]],
  "species": ["Si", "Ni", "Ni", "Ni", "Pt"],
  "fractional_positions": [[0.0000, 0.0000, 0.0000], [0.0000, 0.5000, 0.5000], [0.5000, 0.0000, 0.5000], [0.5000, 0.5000, 0.0000], [0.5000, 0.5000, 0.5000]],
  "formation_energy_uncorrected_ev_per_fu": 6.268,
  "total_energy_ev_per_atom": -4.508,
  "polymorph_energy_mev_per_atom": 1574
}

***

[7]
{
  "formula": "Si2Ni3Pt",
  "functional": "GGA-PBE",
  "state": "relaxed",
  "cell": [[8.3432, -1.8546, 0.0000], [8.3432, 1.8546, 0.0000], [-3.5682, 0.0000, 7.2125]],
  "species": ["Si", "Si", "Si", "Si", "Si", "Si", "Ni", "Ni", "Ni", "Ni", "Ni", "Ni", "Ni", "Ni", "Ni", "Pt", "Pt", "Pt"],
  "fractional_positions": [[0.0436, 0.0436, 0.3336], [0.1478, 0.1478, 0.0188], [0.3059, 0.3059, 0.3634], [0.6941, 0.6941, 0.6366], [0.8522, 0.8522, 0.9812], [0.9564, 0.9564, 0.6664], [0.0000, 0.0000, 0.0000], [0.1162, 0.1162, 0.6926], [0.1959, 0.1959, 0.4762], [0.2986, 0.2986, 0.0793], [0.4587, 0.4587, 0.1579], [0.5413, 0.5413, 0.8421], [0.7014, 0.7014, 0.9207], [0.8041, 0.8041, 0.5238], [0.8838, 0.8838, 0.3074], [0.3714, 0.3714, 0.7968], [0.5000, 0.5000, 0.5000], [0.6286, 0.6286, 0.2032]],
  "formation_energy_uncorrected_ev_per_fu": -2.746,
  "total_energy_ev_per_atom": -6.163
}

***

[8]
{
  "formula": "Si2NiPt",
  "functional": "GGA-PBE",
  "state": "relaxed",
  "cell": [[2.9765, 0.0000, 0.0000], [0.0000, 4.3507, 0.0000], [0.0000, 0.0000, 4.1519]],
  "species": ["Si", "Si", "Ni", "Pt"],
  "fractional_positions": [[0.0000, 0.0000, 0.0000], [0.5000, 0.5000, 0.2134], [0.0000, 0.5000, 0.7747], [0.5000, 0.0000, 0.4872]],
  "formation_energy_uncorrected_ev_per_fu": -1.697,
  "total_energy_ev_per_atom": -6.091
}

***

[9]
{
  "formula": "Si2NiPt",
  "functional": "GGA-PBE",
  "state": "relaxed",
  "cell": [[2.7655, 0.0000, 0.0000], [0.0000, 2.7655, 0.0000], [0.0000, 0.0000, 6.9791]],
  "species": ["Si", "Si", "Ni", "Pt"],
  "fractional_positions": [[0.0000, 0.0000, 0.0000], [0.5000, 0.5000, 0.2748], [0.0000, 0.0000, 0.4736], [0.5000, 0.5000, 0.7573]],
  "formation_energy_uncorrected_ev_per_fu": -0.521,
  "total_energy_ev_per_atom": -5.797
}

***

[10]
{
  "formula": "SiNi3Pt",
  "functional": "GGA-PBE",
  "state": "relaxed",
  "cell": [[-2.2079, 2.2079, 7.7829], [2.2079, -2.2079, 7.7829], [2.2079, 2.2079, -7.7829]],
  "species": ["Si", "Si", "Ni", "Ni", "Ni", "Ni", "Ni", "Ni", "Pt", "Pt"],
  "fractional_positions": [[0.0000, 0.0000, 0.0000], [0.7500, 0.2500, 0.5000], [0.0768, 0.5768, 0.5000], [0.3708, 0.1227, 0.2481], [0.4232, 0.9232, 0.5000], [0.8745, 0.1227, 0.7519], [0.8773, 0.1255, 0.2481], [0.8773, 0.6292, 0.7519], [0.3266, 0.3266, 0.0000], [0.6734, 0.6734, 0.0000]],
  "formation_energy_uncorrected_ev_per_fu": 0.660,
  "total_energy_ev_per_atom": -5.630,
  "polymorph_energy_mev_per_atom": 452
}

***

[11]
{
  "formula": "Si2NiPt2",
  "functional": "GGA-PBE",
  "state": "relaxed",
  "cell": [[6.4053, 0.0000, 0.0000], [0.0000, 6.4053, 0.0000], [0.0000, 0.0000, 3.4132]],
  "species": ["Si", "Si", "Si", "Si", "Ni", "Ni", "Pt", "Pt", "Pt", "Pt"],
  "fractional_positions": [[0.1465, 0.3535, 0.0000], [0.3535, 0.8535, 0.0000], [0.6465, 0.1465, 0.0000], [0.8535, 0.6465, 0.0000], [0.0000, 0.0000, 0.0000], [0.5000, 0.5000, 0.0000], [0.1545, 0.6545, 0.5000], [0.3455, 0.1545, 0.5000], [0.6545, 0.8455, 0.5000], [0.8455, 0.3455, 0.5000]],
  "formation_energy_uncorrected_ev_per_fu": -1.806,
  "total_energy_ev_per_atom": -6.103
}

***

[12]
{
  "formula": "SiNiPt4",
  "functional": "GGA-PBE",
  "state": "relaxed",
  "cell": [[0.0000, 3.6985, 3.6985], [3.6985, 0.0000, 3.6985], [3.6985, 3.6985, 0.0000]],
  "species": ["Si", "Ni", "Pt", "Pt", "Pt", "Pt"],
  "fractional_positions": [[0.0000, 0.0000, 0.0000], [0.7500, 0.7500, 0.7500], [0.3753, 0.3753, 0.3753], [0.3753, 0.3753, 0.8742], [0.3753, 0.8742, 0.3753], [0.8742, 0.3753, 0.3753]],
  "formation_energy_uncorrected_ev_per_fu": 2.005,
  "total_energy_ev_per_atom": -5.560
}

***

[13]
{
  "formula": "Si3NiPt",
  "functional": "GGA-PBE",
  "state": "relaxed",
  "cell": [[4.3335, 0.0000, 0.0000], [0.0000, 4.3335, 0.0000], [0.0000, 0.0000, 4.3335]],
  "species": ["Si", "Si", "Si", "Ni", "Pt"],
  "fractional_positions": [[0.0000, 0.0000, 0.5000], [0.0000, 0.5000, 0.0000], [0.5000, 0.0000, 0.0000], [0.0000, 0.0000, 0.0000], [0.5000, 0.5000, 0.5000]],
  "formation_energy_uncorrected_ev_per_fu": 1.800,
  "total_energy_ev_per_atom": -5.258,
  "polymorph_energy_mev_per_atom": 744
}

***

[14]
{
  "formula": "Si2NiPt",
  "functional": "GGA-PBE",
  "state": "relaxed",
  "cell": [[1.3698, -2.5392, 0.0000], [1.3698, 2.5392, 0.0000], [0.0000, 0.0000, 8.0093]],
  "species": ["Si", "Si", "Ni", "Pt"],
  "fractional_positions": [[0.0000, 0.0000, 0.2349], [0.0000, 0.0000, 0.7651], [0.5000, 0.5000, 0.0000], [0.5000, 0.5000, 0.5000]],
  "formation_energy_uncorrected_ev_per_fu": -0.470,
  "total_energy_ev_per_atom": -5.785
}

***

[15]
{
  "formula": "Si3NiPt",
  "functional": "GGA-PBE",
  "state": "relaxed",
  "cell": [[4.4181, 0.0000, 0.0000], [0.0000, 3.8427, 0.0000], [-1.1230, 0.0000, 9.0520]],
  "species": ["Si", "Si", "Si", "Si", "Si", "Si", "Ni", "Ni", "Pt", "Pt"],
  "fractional_positions": [[0.0190, 0.2500, 0.3012], [0.2989, 0.7500, 0.0283], [0.4164, 0.7500, 0.5735], [0.5836, 0.2500, 0.4265], [0.7011, 0.2500, 0.9717], [0.9810, 0.7500, 0.6988], [0.3322, 0.7500, 0.3182], [0.6678, 0.2500, 0.6818], [0.1776, 0.2500, 0.8612], [0.8224, 0.7500, 0.1388]],
  "formation_energy_uncorrected_ev_per_fu": -1.921,
  "total_energy_ev_per_atom": -6.002,
  "polymorph_energy_mev_per_atom": 0
}

***

[16]
{
  "formula": "SiNiPt3",
  "functional": "GGA-PBE",
  "state": "relaxed",
  "cell": [[4.4819, 0.0000, 0.0000], [0.0000, 4.4819, 0.0000], [0.0000, 0.0000, 4.4819]],
  "species": ["Si", "Ni", "Pt", "Pt", "Pt"],
  "fractional_positions": [[0.0000, 0.0000, 0.0000], [0.5000, 0.5000, 0.5000], [0.0000, 0.0000, 0.5000], [0.0000, 0.5000, 0.0000], [0.5000, 0.0000, 0.0000]],
  "formation_energy_uncorrected_ev_per_fu": 2.295,
  "total_energy_ev_per_atom": -5.406,
  "polymorph_energy_mev_per_atom": 0
}

***

[17]
{
  "formula": "Si2Ni2Pt",
  "functional": "GGA-PBE",
  "state": "relaxed",
  "cell": [[6.7460, 0.0000, 0.0000], [0.0000, 6.7460, 0.0000], [0.0000, 0.0000, 2.7033]],
  "species": ["Si", "Si", "Si", "Si", "Ni", "Ni", "Ni", "Ni", "Pt", "Pt"],
  "fractional_positions": [[0.1670, 0.3330, 0.0000], [0.3330, 0.8330, 0.0000], [0.6670, 0.1670, 0.0000], [0.8330, 0.6670, 0.0000], [0.1300, 0.6300, 0.5000], [0.3700, 0.1300, 0.5000], [0.6300, 0.8700, 0.5000], [0.8700, 0.3700, 0.5000], [0.0000, 0.0000, 0.5000], [0.5000, 0.5000, 0.5000]],
  "formation_energy_uncorrected_ev_per_fu": -1.950,
  "total_energy_ev_per_atom": -6.080
}

***

[18]
{
  "formula": "SiNi3Pt",
  "functional": "GGA-PBE",
  "state": "relaxed",
  "cell": [[9.2955, 0.0000, 0.0000], [0.0000, 4.0903, 0.0000], [0.0000, 0.0000, 6.5350]],
  "species": ["Si", "Si", "Si", "Si", "Ni", "Ni", "Ni", "Ni", "Ni", "Ni", "Ni", "Ni", "Ni", "Ni", "Ni", "Ni", "Pt", "Pt", "Pt", "Pt"],
  "fractional_positions": [[0.1363, 0.2500, 0.1820], [0.3637, 0.7500, 0.6820], [0.6363, 0.2500, 0.3180], [0.8637, 0.7500, 0.8180], [0.0071, 0.7500, 0.1083], [0.0791, 0.2500, 0.5288], [0.1130, 0.7500, 0.7414], [0.3870, 0.2500, 0.2414], [0.4209, 0.7500, 0.0288], [0.4929, 0.2500, 0.6083], [0.5071, 0.7500, 0.3917], [0.5791, 0.2500, 0.9712], [0.6130, 0.7500, 0.7586], [0.8870, 0.2500, 0.2586], [0.9209, 0.7500, 0.4712], [0.9929, 0.2500, 0.8917], [0.2254, 0.7500, 0.3578], [0.2746, 0.2500, 0.8578], [0.7254, 0.7500, 0.1422], [0.7746, 0.2500, 0.6422]],
  "formation_energy_uncorrected_ev_per_fu": -1.601,
  "total_energy_ev_per_atom": -6.082,
  "polymorph_energy_mev_per_atom": 0
}

***

[19]
{
  "formula": "Si2NiPt",
  "functional": "GGA-PBE",
  "state": "relaxed",
  "cell": [[0.0000, 3.0130, 3.0130], [3.0130, 0.0000, 3.0130], [3.0130, 3.0130, 0.0000]],
  "species": ["Si", "Si", "Ni", "Pt"],
  "fractional_positions": [[0.0000, 0.0000, 0.0000], [0.2500, 0.2500, 0.2500], [0.5000, 0.5000, 0.5000], [0.7500, 0.7500, 0.7500]],
  "formation_energy_uncorrected_ev_per_fu": 0.057,
  "total_energy_ev_per_atom": -5.653
}

***

[20]
{
  "formula": "Si2NiPt",
  "functional": "GGA-PBE",
  "state": "relaxed",
  "cell": [[3.8675, -1.4669, 0.0000], [3.8675, 1.4669, 0.0000], [-0.8352, 0.0000, 4.6504]],
  "species": ["Si", "Si", "Ni", "Pt"],
  "fractional_positions": [[0.2469, 0.2469, 0.2264], [0.7531, 0.7531, 0.7736], [0.5000, 0.5000, 0.0000], [0.0000, 0.0000, 0.5000]],
  "formation_energy_uncorrected_ev_per_fu": -1.448,
  "total_energy_ev_per_atom": -6.029
}

***

[21]
{
  "formula": "Si2NiPt",
  "functional": "GGA-PBE",
  "state": "relaxed",
  "cell": [[3.2963, 0.0000, 0.0000], [0.0000, 3.3123, 0.0000], [0.0000, 0.0000, 4.8990]],
  "species": ["Si", "Si", "Ni", "Pt"],
  "fractional_positions": [[0.0000, 0.0000, 0.0000], [0.5000, 0.5000, 0.3142], [0.5000, 0.5000, 0.8406], [0.0000, 0.0000, 0.5040]],
  "formation_energy_uncorrected_ev_per_fu": -1.988,
  "total_energy_ev_per_atom": -6.164
}

***

[22]
{
  "formula": "SiNi2Pt2",
  "functional": "GGA-PBE",
  "state": "relaxed",
  "cell": [[5.8527, 0.0000, 0.0000], [0.0000, 5.8527, 0.0000], [0.0000, 0.0000, 3.9456]],
  "species": ["Si", "Si", "Ni", "Ni", "Ni", "Ni", "Pt", "Pt", "Pt", "Pt"],
  "fractional_positions": [[0.0000, 0.0000, 0.0000], [0.5000, 0.5000, 0.0000], [0.1402, 0.3598, 0.0000], [0.3598, 0.8598, 0.0000], [0.6402, 0.1402, 0.0000], [0.8598, 0.6402, 0.0000], [0.1666, 0.6666, 0.5000], [0.3334, 0.1666, 0.5000], [0.6666, 0.8334, 0.5000], [0.8334, 0.3334, 0.5000]],
  "formation_energy_uncorrected_ev_per_fu": -0.841,
  "total_energy_ev_per_atom": -5.982,
  "polymorph_energy_mev_per_atom": 0
}

***

[23]
{
  "formula": "Si2NiPt",
  "functional": "GGA-PBE",
  "state": "relaxed",
  "cell": [[4.1458, 0.0000, 0.0000], [0.0000, 3.0840, 0.0000], [-1.7877, 0.0000, 4.2005]],
  "species": ["Si", "Si", "Ni", "Pt"],
  "fractional_positions": [[0.0000, 0.0000, 0.0000], [0.0000, 0.5000, 0.5000], [0.5000, 0.0000, 0.5000], [0.5000, 0.5000, 0.0000]],
  "formation_energy_uncorrected_ev_per_fu": -1.320,
  "total_energy_ev_per_atom": -5.997
}

***

[24]
{
  "formula": "Si2NiPt",
  "functional": "GGA-PBE",
  "state": "relaxed",
  "cell": [[2.8354, -2.8460, 0.0000], [2.8354, 2.8460, 0.0000], [0.0000, 0.0000, 3.2666]],
  "species": ["Si", "Si", "Ni", "Pt"],
  "fractional_positions": [[0.0000, 0.5000, 0.0000], [0.5000, 0.0000, 0.0000], [0.0000, 0.0000, 0.5000], [0.5000, 0.5000, 0.5000]],
  "formation_energy_uncorrected_ev_per_fu": -0.864,
  "total_energy_ev_per_atom": -5.883
}

***

[25]
{
  "formula": "SiNi3Pt",
  "functional": "GGA-PBE",
  "state": "relaxed",
  "cell": [[4.1442, 0.0000, 0.0000], [0.0000, 4.1442, 0.0000], [0.0000, 0.0000, 4.1442]],
  "species": ["Si", "Ni", "Ni", "Ni", "Pt"],
  "fractional_positions": [[0.0000, 0.0000, 0.0000], [0.0000, 0.0000, 0.5000], [0.0000, 0.5000, 0.0000], [0.5000, 0.0000, 0.0000], [0.5000, 0.5000, 0.5000]],
  "formation_energy_uncorrected_ev_per_fu": 2.157,
  "total_energy_ev_per_atom": -5.330,
  "polymorph_energy_mev_per_atom": 752
}

***

[26]
{
  "formula": "Si2NiPt",
  "functional": "GGA-PBE",
  "state": "relaxed",
  "cell": [[2.9866, 0.0000, 0.0000], [0.0000, 3.1311, 0.0000], [0.0000, 0.0000, 5.5907]],
  "species": ["Si", "Si", "Ni", "Pt"],
  "fractional_positions": [[0.0000, 0.0000, 0.2268], [0.0000, 0.0000, 0.7732], [0.5000, 0.5000, 0.0000], [0.5000, 0.5000, 0.5000]],
  "formation_energy_uncorrected_ev_per_fu": -0.937,
  "total_energy_ev_per_atom": -5.901
}